No. 1
! Pr3Sm6Dy2Er, optimized geometry, DFT GGA-PBE; values from VASP
! - M_tot: 0.0 μB/cell
! - SG: C2/m, No. 12
! - Calculated total energy: -4.684 eV per atom
! - Energy of formation: 0.0180 eV per atom
! - Theoretical density: 7.46 g/cm3
&SYSTEM
  ibrav = 0, nat = 12, ntyp = 4
/
ATOMIC_SPECIES
Pr 140.91 Pr.upf
Sm 150.36 Sm.upf
Dy 162.50 Dy.upf
Er 167.26 Er.upf
ATOMIC_POSITIONS crystal
Pr 0.167 0.833 0.500
Pr 0.833 0.167 0.500
Pr 0.500 0.500 0.500
Sm 0.918 0.585 0.755
Sm 0.749 0.749 0.245
Sm 0.082 0.415 0.245
Sm 0.585 0.918 0.755
Sm 0.251 0.251 0.755
Sm 0.415 0.082 0.245
Dy 0.333 0.667 0.000
Dy 0.667 0.333 0.000
Er 0.000 0.000 0.000
CELL_PARAMETERS angstrom
-1.026 -3.629 5.028
0.404 -2.588 -5.714
11.877 0.749 1.653

---

No. 2
! Na2CeIn, optimized geometry, DFT GGA-PBE; values from VASP
! - M_tot: 0.6 μB/cell
! - SG: R-3m, No. 166
! - Calculated total energy: -2.658 eV per atom
! - Energy of formation: 0.1692 eV per atom
! - Theoretical density: 4.35 g/cm3
&SYSTEM
  ibrav = 0, nat = 4, ntyp = 3
/
ATOMIC_SPECIES
Na 22.99 Na.upf
Ce 140.12 Ce.upf
In 114.82 In.upf
ATOMIC_POSITIONS crystal
Na 0.089 0.089 0.732
Na 0.911 0.911 0.268
Ce 0.000 0.000 0.000
In 0.500 0.500 0.500
CELL_PARAMETERS angstrom
-0.357 -1.754 2.683
-0.690 -3.144 -0.208
12.103 -4.358 0.701

---

No. 3
! BaMnAs, optimized geometry, DFT GGA-PBE; values from VASP
! - M_tot: 4.0 μB/cell
! - SG: P-6m2, No. 187
! - Calculated total energy: -5.737 eV per atom
! - Energy of formation: -0.4894 eV per atom
! - Theoretical density: 5.31 g/cm3
&SYSTEM
  ibrav = 0, nat = 3, ntyp = 3
/
ATOMIC_SPECIES
As 74.92 As.upf
Ba 137.33 Ba.upf
Mn 54.94 Mn.upf
ATOMIC_POSITIONS crystal
As 0.000 0.000 0.833
Ba 0.333 0.667 0.333
Mn 0.667 0.333 0.833
CELL_PARAMETERS angstrom
4.447 0.000 0.000
-2.223 3.851 0.000
0.000 0.000 4.875

---

No. 4
! CsTeAs2Cl, optimized geometry, DFT GGA-PBE; values from VASP
! - M_tot: 0.0 μB/cell
! - SG: P4/mmm, No. 123
! - Energy relative to the elements, uncorrected: 0.4081 eV per atom
! - Calculated total energy: -2.620 eV per atom
! - Theoretical density: 4.51 g/cm3
&SYSTEM
  ibrav = 0, nat = 5, ntyp = 4
/
ATOMIC_SPECIES
Cs 132.91 Cs.upf
As 74.92 As.upf
Te 127.60 Te.upf
Cl 35.45 Cl.upf
ATOMIC_POSITIONS crystal
Cs 0.000 0.500 0.000
As 0.000 0.000 0.500
As 0.500 0.000 0.000
Te 0.500 0.500 0.500
Cl 0.000 0.000 0.000
CELL_PARAMETERS angstrom
5.180 0.000 0.000
0.000 6.120 0.000
0.000 0.000 5.180

---

No. 5
! InTc, optimized geometry, DFT GGA-PBE; values from VASP
! - M_tot: 0.0 μB/cell
! - SG: P2/m, No. 10
! - Calculated total energy: -6.190 eV per atom
! - Energy of formation: 0.3620 eV per atom
! - Theoretical density: 8.85 g/cm3
&SYSTEM
  ibrav = 0, nat = 4, ntyp = 2
/
ATOMIC_SPECIES
Tc 98.00 Tc.upf
In 114.82 In.upf
ATOMIC_POSITIONS crystal
Tc 0.800 0.500 0.101
Tc 0.200 0.500 0.899
In 0.416 0.000 0.337
In 0.584 0.000 0.663
CELL_PARAMETERS angstrom
-1.732 0.858 -2.376
-1.549 -2.467 0.238
-4.792 3.660 6.748

---

No. 6
! Sr2PrCd9, optimized geometry, DFT GGA-PBE; values from VASP
! - M_tot: 0.0 μB/cell
! - SG: R-3m, No. 166
! - Calculated total energy: -1.611 eV per atom
! - Energy of formation: -0.2459 eV per atom
! - Theoretical density: 6.96 g/cm3
&SYSTEM
  ibrav = 0, nat = 12, ntyp = 3
/
ATOMIC_SPECIES
Sr 87.62 Sr.upf
Pr 140.91 Pr.upf
Cd 112.41 Cd.upf
ATOMIC_POSITIONS crystal
Sr 0.859 0.859 0.424
Sr 0.141 0.141 0.576
Pr 0.000 0.000 0.000
Cd 0.665 0.665 0.006
Cd 0.335 0.335 0.994
Cd 0.500 0.500 0.500
Cd 0.414 0.414 0.248
Cd 0.924 0.414 0.248
Cd 0.414 0.924 0.248
Cd 0.586 0.586 0.752
Cd 0.586 0.076 0.752
Cd 0.076 0.586 0.752
CELL_PARAMETERS angstrom
5.874 0.000 1.748
2.677 5.228 1.748
0.114 0.070 10.359

---

No. 7
! Zn2CoSi, optimized geometry, DFT GGA-PBE; values from VASP
! - M_tot: 0.0 μB/cell
! - SG: R3m, No. 160
! - Energy relative to the elements, uncorrected: -0.0395 eV per atom
! - Calculated total energy: -3.809 eV per atom
! - Theoretical density: 6.80 g/cm3
&SYSTEM
  ibrav = 0, nat = 4, ntyp = 3
/
ATOMIC_SPECIES
Co 58.93 Co.upf
Si 28.09 Si.upf
Zn 65.41 Zn.upf
ATOMIC_POSITIONS crystal
Co 0.494 0.494 0.494
Si 0.760 0.760 0.760
Zn 0.003 0.003 0.003
Zn 0.242 0.242 0.242
CELL_PARAMETERS angstrom
-3.695 6.879 2.965
-4.452 5.095 4.898
-2.017 6.334 5.058

---

No. 8
! Zn2PSe, optimized geometry, DFT GGA-PBE; values from VASP
! - M_tot: 0.0 μB/cell
! - SG: Pmmm, No. 47
! - Energy relative to the elements, uncorrected: 0.2059 eV per atom
! - Calculated total energy: -2.655 eV per atom
! - Theoretical density: 5.21 g/cm3
&SYSTEM
  ibrav = 0, nat = 4, ntyp = 3
/
ATOMIC_SPECIES
Zn 65.41 Zn.upf
P 30.97 P.upf
Se 78.96 Se.upf
ATOMIC_POSITIONS crystal
Zn 0.000 0.000 0.000
Zn 0.000 0.500 0.500
P 0.500 0.500 0.000
Se 0.500 0.000 0.500
CELL_PARAMETERS angstrom
-0.283 3.095 1.704
-3.432 0.376 -1.252
-2.045 -2.807 4.761

---

Q: What is the formula in the second record?
A: Na2CeIn